Computed, not measured: an optimized crystal structure of Nb2NiIrOs at the PBE-GGA level of DFT.

DFT formation energy (eV/atom): 1.3115

Lattice parameters (Å, degrees): 4.757 4.757 4.447 90.00 90.00 90.00
Fractional coordinates of all 5 atoms:
Nb1 0.000 0.500 0.000
Nb2 0.500 0.000 0.000
Ni1 0.000 0.000 0.500
Ir1 0.500 0.500 0.500
Os1 0.000 0.000 0.000